Computed, not measured: TaBe2Si after structural relaxation at the PBE level of DFT.

For the total magnetization, the calculation gives 0.00 μB/cell. The value obtained for the uncorrected formation energy is -0.1684 eV per atom.

The space group is P4/mmm (No. 123) and the conventional cell measures 3.670, 3.670 and 3.541 Å, with angles of 90.00, 90.00 and 90.00 degrees. Symmetry generates all atoms from Ta at (0.000, 0.000, 0.000), Be at (0.000, 0.500, 0.500) and Si at (0.500, 0.500, 0.000).

Computed, not measured: Be2Co after structural relaxation at the PBE level of DFT.

For the total magnetization, the calculation gives 0.00 μB/cell. The calculation puts the energy of formation at -0.02 eV/atom.

The space group is I4_1/amd (No. 141, origin choice 2) and the conventional cell measures 2.632, 2.632 and 16.117 Å, with angles of 90.00, 90.00 and 90.00 degrees. Symmetry generates all atoms from Be at (0.000, 0.250, 0.305) and Co at (0.000, 0.250, 0.875).

Computed, not measured: Nd3Ga2Pd7 after structural relaxation at the PBE level of DFT.

For the total magnetization, the calculation gives 0.00 μB/cell. The calculation puts the energy of formation at -0.75 eV/atom. The calculation puts the polymorph energy (0 for the lowest one) at 0.0 kJ/mol of atoms.

The space group is I4/mmm (No. 139) and the conventional cell measures 4.118, 4.118 and 28.149 Å, with angles of 90.00, 90.00 and 90.00 degrees. Symmetry generates all atoms from Nd at (0.000, 0.000, 0.000), Nd at (0.000, 0.000, 0.175), Ga at (0.000, 0.000, 0.371), Pd at (0.000, 0.000, 0.281), Pd at (0.000, 0.000, 0.500) and Pd at (0.000, 0.500, 0.078).

Computed, not measured: Er2MgOs after structural relaxation at the PBE level of DFT.

For the total magnetization, the calculation gives 0.00 μB/cell. The calculation puts the energy of formation at 0.25 eV/atom.

The space group is R-3m (No. 166, hexagonal axes) and the conventional cell measures 3.8468, 3.8468 and 29.9167 Å, with angles of 90.00, 90.00 and 120.00 degrees. Symmetry generates all atoms from Er at (0.0000, 0.0000, 0.1148), Mg at (0.0000, 0.0000, 0.0000) and Os at (0.0000, 0.0000, 0.5000).

Computed, not measured: Be2GaFe5Tc2 after structural relaxation at the PBE level of DFT.

For the total magnetization, the calculation gives 0.00 μB/cell. The calculation puts the energy of formation at 0.03 eV/atom.

The space group is P4/mbm (No. 127) and the conventional cell measures 8.721, 8.721 and 2.846 Å, with angles of 90.00, 90.00 and 90.00 degrees. Symmetry generates all atoms from Be at (0.123, 0.377, 0.000), Ga at (0.000, 0.000, 0.000), Fe at (0.000, 0.500, 0.500), Fe at (0.061, 0.212, 0.500) and Tc at (0.177, 0.677, 0.000).

Computed, not measured: La4BI2Cl after structural relaxation at the PBE level of DFT.

For the total magnetization, the calculation gives 0.00 μB/cell. The value obtained for the uncorrected formation energy is -0.9980 eV per atom.

The space group is P2/m (No. 10) and the conventional cell measures 7.282, 4.204 and 8.206 Å, with angles of 90.00, 107.24 and 90.00 degrees. Symmetry generates all atoms from La at (0.208, 0.000, 0.186), La at (0.244, 0.500, 0.806), B at (0.000, 0.500, 0.000), I at (0.000, 0.000, 0.500), I at (0.500, 0.500, 0.500) and Cl at (0.500, 0.000, 0.000).

Computed, not measured: AcNdRh2 after structural relaxation at the PBE level of DFT.

For the total magnetization, the calculation gives 0.00 μB/cell. The calculation puts the energy of formation at -0.67 eV/atom. The calculation puts the polymorph energy (0 for the lowest one) at 0.0 kJ/mol of atoms.

The space group is Pm (No. 6) and the conventional cell measures 4.026, 4.308 and 6.012 Å, with angles of 90.00, 109.62 and 90.00 degrees. Symmetry generates all atoms from Ac at (0.000, 0.000, 0.000), Nd at (0.278, 0.500, 0.556), Rh at (0.556, 0.500, 0.113) and Rh at (0.726, 0.000, 0.456).

Computed, not measured: Ac6CePb6 after structural relaxation at the PBE level of DFT.

For the total magnetization, the calculation gives 0.85 μB/cell. The calculation puts the energy of formation at -0.21 eV/atom.

The space group is P6/mmm (No. 191) and the conventional cell measures 8.1442, 8.1442 and 9.6428 Å, with angles of 90.00, 90.00 and 120.00 degrees. Symmetry generates all atoms from Ac at (0.0000, 0.5000, 0.2454), Ce at (0.0000, 0.0000, 0.5000), Pb at (0.0000, 0.0000, 0.1651), Pb at (0.3333, 0.6667, 0.0000) and Pb at (0.3333, 0.6667, 0.5000).

Computed, not measured: LiPmThSe3 after structural relaxation at the PBE level of DFT.

For the total magnetization, the calculation gives 0.00 μB/cell. The value obtained for the uncorrected formation energy is -1.5591 eV per atom.

The space group is P2_1/m (No. 11) and the conventional cell measures 8.765, 3.982 and 8.895 Å, with angles of 90.00, 104.68 and 90.00 degrees. Symmetry generates all atoms from Li at (0.084, 0.250, 0.088), Pm at (0.190, 0.250, 0.726), Th at (0.350, 0.750, 0.354), Se at (0.094, 0.250, 0.373), Se at (0.213, 0.750, 0.003) and Se at (0.424, 0.750, 0.706).

Computed, not measured: Nd3Ho2Er after structural relaxation at the PBE level of DFT.

For the total magnetization, the calculation gives 0.00 μB/cell. The calculation puts the energy of formation at 0.36 eV/atom. The calculation puts the polymorph energy (0 for the lowest one) at 24.0 kJ/mol of atoms.

The space group is Immm (No. 71) and the conventional cell measures 3.493, 5.935 and 19.591 Å, with angles of 90.00, 90.00 and 90.00 degrees. Symmetry generates all atoms from Nd at (0.000, 0.000, 0.000), Nd at (0.000, 0.500, 0.189), Ho at (0.000, 0.500, 0.363) and Er at (0.000, 0.500, 0.000).

Computed, not measured: Cu2Te after structural relaxation at the PBE level of DFT.

For the total magnetization, the calculation gives 0.00 μB/cell. The value obtained for the uncorrected formation energy is 0.1625 eV per atom.

The space group is P6_3/mmc (No. 194) and the conventional cell measures 4.0310, 4.0310 and 7.6208 Å, with angles of 90.00, 90.00 and 120.00 degrees. Symmetry generates all atoms from Cu at (0.3333, 0.6667, 0.0711) and Te at (0.0000, 0.0000, 0.2500).